## YIr2W (GGA-PBEsol)

Data for a relaxed YIr2W crystal.

Unit cell a=2.918 b=4.641 c=5.018 alpha=90.00 beta=98.78 gamma=90.00
Space group Pm (No. 6)
Asymmetric unit:
Y 0.000 0.000 0.000 (multiplicity 1)
Ir 0.533 0.500 0.117 (multiplicity 1)
Ir 0.614 0.000 0.487 (multiplicity 1)
W 0.203 0.500 0.598 (multiplicity 1)

Summary:
For the density of states at the Fermi level, the calculation gives 2.51 states/eV/f.u. The calculation puts the energy relative to the elements at -0.25 eV/atom. As for the volume: 16.8 A^3/atom. The calculation puts the total moment at 0.0 μB/f.u.